1.
# Ba3SbBr, optimized geometry, DFT GGA-PBE
# **Symmetry**: Pm-3m, No. 221
# **Spin magnetization**: 0.00 μB/f.u.
# **Relative energy among the computed polymorphs**: 0.415 eV per atom
# **D(E_F)**: 4.21 states/eV/cell
# **Energy relative to the elements, uncorrected**: -736 meV/atom
data_Ba3SbBr
_chemical_formula_sum 'Ba3 Sb1 Br1'
_space_group_name_H-M_alt 'P 1'
_space_group_IT_number 1
_space_group_name_Hall 'P 1'
_cell_length_a 6.0915
_cell_length_b 6.0915
_cell_length_c 6.0915
_cell_angle_alpha 90.00
_cell_angle_beta 90.00
_cell_angle_gamma 90.00
loop_
_atom_site_label
_atom_site_type_symbol
_atom_site_fract_x
_atom_site_fract_y
_atom_site_fract_z
Ba1 Ba 0.0000 0.0000 0.5000
Ba2 Ba 0.0000 0.5000 0.0000
Ba3 Ba 0.5000 0.0000 0.0000
Sb1 Sb 0.5000 0.5000 0.5000
Br1 Br 0.0000 0.0000 0.0000

=====

2.
# BaSbBr, optimized geometry, DFT GGA-PBE
# **Symmetry**: P2_1/m, No. 11
# **Spin magnetization**: 0.00 μB/f.u.
# **Relative energy among the computed polymorphs**: 0.000 eV per atom
# **D(E_F)**: 0.29 states/eV/cell
# **Energy relative to the elements, uncorrected**: -1490 meV/atom
data_BaSbBr
_chemical_formula_sum 'Ba2 Sb2 Br2'
_space_group_name_H-M_alt 'P 1'
_space_group_IT_number 1
_space_group_name_Hall 'P 1'
_cell_length_a 4.6063
_cell_length_b 4.5029
_cell_length_c 10.1963
_cell_angle_alpha 90.00
_cell_angle_beta 91.00
_cell_angle_gamma 90.00
loop_
_atom_site_label
_atom_site_type_symbol
_atom_site_fract_x
_atom_site_fract_y
_atom_site_fract_z
Ba1 Ba 0.2400 0.2500 0.2766
Ba2 Ba 0.7600 0.7500 0.7234
Sb1 Sb 0.2880 0.7500 0.9969
Sb2 Sb 0.7120 0.2500 0.0031
Br1 Br 0.2544 0.2500 0.6192
Br2 Br 0.7456 0.7500 0.3808

=====

3.
# Ba3SbBr3, optimized geometry, DFT GGA-PBE
# **Symmetry**: C2/m, No. 12
# **Spin magnetization**: 0.00 μB/f.u.
# **Energy relative to the elements, uncorrected**: -1735 meV/atom
data_Ba3SbBr3
_chemical_formula_sum 'Ba6 Sb2 Br6'
_space_group_name_H-M_alt 'P 1'
_space_group_IT_number 1
_space_group_name_Hall 'P 1'
_cell_length_a 9.7776
_cell_length_b 9.7776
_cell_length_c 9.9697
_cell_angle_alpha 120.59
_cell_angle_beta 120.59
_cell_angle_gamma 60.08
loop_
_atom_site_label
_atom_site_type_symbol
_atom_site_fract_x
_atom_site_fract_y
_atom_site_fract_z
Ba1 Ba 0.9999 0.5000 0.2661
Ba2 Ba 0.0001 0.5000 0.7339
Ba3 Ba 0.0093 0.0093 0.2594
Ba4 Ba 0.5000 0.9999 0.2661
Ba5 Ba 0.5000 0.0001 0.7339
Ba6 Ba 0.9907 0.9907 0.7406
Sb1 Sb 0.2534 0.2534 0.5034
Sb2 Sb 0.7466 0.7466 0.4966
Br1 Br 0.2197 0.7803 0.0000
Br2 Br 0.2201 0.7799 0.5000
Br3 Br 0.2383 0.2383 0.9877
Br4 Br 0.7617 0.7617 0.0123
Br5 Br 0.7803 0.2197 0.0000
Br6 Br 0.7799 0.2201 0.5000

=====

4.
# BaSbBr, optimized geometry, DFT GGA-PBE
# **Symmetry**: P3m1, No. 156
# **Spin magnetization**: 0.00 μB/f.u.
# **Relative energy among the computed polymorphs**: 0.720 eV per atom
# **D(E_F)**: 3.60 states/eV/cell
# **Energy relative to the elements, uncorrected**: -769 meV/atom
data_BaSbBr
_chemical_formula_sum 'Ba1 Sb1 Br1'
_space_group_name_H-M_alt 'P 1'
_space_group_IT_number 1
_space_group_name_Hall 'P 1'
_cell_length_a 4.3246
_cell_length_b 4.3246
_cell_length_c 8.7583
_cell_angle_alpha 90.00
_cell_angle_beta 90.00
_cell_angle_gamma 120.00
loop_
_atom_site_label
_atom_site_type_symbol
_atom_site_fract_x
_atom_site_fract_y
_atom_site_fract_z
Ba1 Ba 0.0000 0.0000 0.0000
Sb1 Sb 0.3333 0.6667 0.6893
Br1 Br 0.6667 0.3333 0.2210

=====

5.
# BaSb3Br, optimized geometry, DFT GGA-PBE
# **Symmetry**: Pm-3m, No. 221
# **Spin magnetization**: 0.00 μB/f.u.
# **Relative energy among the computed polymorphs**: 0.783 eV per atom
# **D(E_F)**: 6.47 states/eV/cell
# **Energy relative to the elements, uncorrected**: 887 meV/atom
data_BaSb3Br
_chemical_formula_sum 'Ba1 Sb3 Br1'
_space_group_name_H-M_alt 'P 1'
_space_group_IT_number 1
_space_group_name_Hall 'P 1'
_cell_length_a 6.3560
_cell_length_b 6.3560
_cell_length_c 6.3560
_cell_angle_alpha 90.00
_cell_angle_beta 90.00
_cell_angle_gamma 90.00
loop_
_atom_site_label
_atom_site_type_symbol
_atom_site_fract_x
_atom_site_fract_y
_atom_site_fract_z
Ba1 Ba 0.0000 0.0000 0.0000
Sb1 Sb 0.0000 0.0000 0.5000
Sb2 Sb 0.0000 0.5000 0.0000
Sb3 Sb 0.5000 0.0000 0.0000
Br1 Br 0.5000 0.5000 0.5000

=====

6.
# BaSbBr, optimized geometry, DFT GGA-PBE
# **Symmetry**: P-6m2, No. 187
# **Spin magnetization**: 1.25 μB/f.u.
# **Relative energy among the computed polymorphs**: 0.721 eV per atom
# **D(E_F)**: 2.59 states/eV/cell
# **Energy relative to the elements, uncorrected**: -769 meV/atom
data_BaSbBr
_chemical_formula_sum 'Ba1 Sb1 Br1'
_space_group_name_H-M_alt 'P 1'
_space_group_IT_number 1
_space_group_name_Hall 'P 1'
_cell_length_a 5.5883
_cell_length_b 5.5883
_cell_length_c 4.1231
_cell_angle_alpha 90.00
_cell_angle_beta 90.00
_cell_angle_gamma 120.00
loop_
_atom_site_label
_atom_site_type_symbol
_atom_site_fract_x
_atom_site_fract_y
_atom_site_fract_z
Ba1 Ba 0.0000 0.0000 0.0000
Sb1 Sb 0.3333 0.6667 0.5000
Br1 Br 0.6667 0.3333 0.0000